Record 1
A geometry-optimized HgPF3 structure. Source: Alexandria, functional PBE.

```
HgPF3
1.0
-0.4585 0.7684 4.4495
-3.6815 -2.6531 0.0789
2.6144 -3.6013 0.8913
F P Hg
3 1 1
direct
0.0000 0.0000 0.5000
0.5000 0.0000 0.0000
0.0000 0.5000 0.0000
0.5000 0.5000 0.5000
0.0000 0.0000 0.0000
```

Results
Calculated volume: 18.7 Å³/atom
Crystal system: cubic
Energy above the lowest structure with this stoichiometry: 0.6228 eV per atom
Space group: Pm-3m
Mass density: 5.1 g/cm³

Record 2
A geometry-optimized Rb2HgPF6 structure. Source: Alexandria, functional PBE.

```
Rb2HgPF6
1.0
-0.2455 -6.5654 1.2987
6.6913 -0.2671 -0.0857
3.3189 -2.5012 5.2507
F P Rb Hg
6 1 2 1
direct
0.3102 0.3102 0.0000
0.3102 0.3102 0.3797
0.6898 0.6898 0.6203
0.6898 0.3102 0.0000
0.6898 0.6898 0.0000
0.3102 0.6898 0.0000
0.5000 0.5000 0.0000
0.7500 0.2500 0.5000
0.2500 0.7500 0.5000
0.0000 0.0000 0.0000
```

Results
Calculated volume: 21.2 Å³/atom
Energy: -4.050 eV per atom
Crystal system: cubic
Space group: Fm-3m
Mass density: 4.0 g/cm³

Record 3
A geometry-optimized HgP2SF structure. Source: Alexandria, functional PBE.

```
HgP2SF
1.0
-4.3991 -1.4911 -2.2216
1.9241 -4.7337 -0.6328
-1.7743 -1.3082 4.3913
P S F Hg
2 1 1 1
direct
0.5000 0.0000 0.0000
0.0000 0.5000 0.0000
0.0000 0.0000 0.5000
0.5000 0.5000 0.5000
0.0000 0.0000 0.0000
```

Results
Calculated volume: 26.1 Å³/atom
Crystal system: tetragonal
Energy above the lowest structure with this stoichiometry: 0.4962 eV per atom
Space group: P4/mmm
Mass density: 4.0 g/cm³

Record 4
A geometry-optimized Hg2PSF structure. Source: Alexandria, functional PBE.

```
Hg2PSF
1.0
5.2604 0.0000 0.0000
0.0000 3.8679 0.0000
0.0000 0.0000 5.2604
Hg S F P
2 1 1 1
direct
0.0000 0.0000 0.5000
0.5000 0.0000 0.0000
0.0000 0.0000 0.0000
0.0000 0.5000 0.0000
0.5000 0.5000 0.5000
```

Results
Calculated volume: 21.4 Å³/atom
Energy: -2.118 eV per atom
Crystal system: tetragonal
Space group: P4/mmm
Mass density: 7.5 g/cm³

Record 5
A geometry-optimized HgP2SF structure. Source: Alexandria, functional PBE.

```
HgP2SF
1.0
-0.6152 -0.3207 -3.9764
3.9052 -0.8700 -0.5340
-1.2630 -6.0903 0.6866
S P F Hg
1 2 1 1
direct
0.0000 0.0000 0.5000
0.5000 0.0000 0.0000
0.0000 0.5000 0.0000
0.0000 0.0000 0.0000
0.5000 0.5000 0.5000
```

Results
Calculated volume: 20.4 Å³/atom
Crystal system: tetragonal
Energy above the lowest structure with this stoichiometry: 0.0000 eV per atom
Space group: P4/mmm
Mass density: 5.1 g/cm³

Record 6
A geometry-optimized Hg2PSe2F4 structure. Source: Alexandria, functional PBE.

```
Hg2PSe2F4
1.0
6.5637 -0.5368 -0.3652
0.4758 5.4162 -0.0901
0.4758 1.9049 5.0709
F Se Hg P
4 2 2 1
direct
0.6104 0.2952 0.9158
0.6104 0.9158 0.2952
0.3896 0.0842 0.7048
0.3896 0.7048 0.0842
0.9068 0.3905 0.3905
0.0932 0.6095 0.6095
0.7972 0.8181 0.8181
0.2028 0.1819 0.1819
0.5000 0.0000 0.0000
```

Results
Calculated volume: 20.4 Å³/atom
Energy: -3.484 eV per atom
Crystal system: monoclinic
Space group: C2/m
Mass density: 6.0 g/cm³

Record 7
A geometry-optimized ZrHgPF2 structure. Source: Alexandria, functional PBE.

```
ZrHgPF2
1.0
4.1219 0.0000 0.0000
0.0000 6.6692 0.0000
0.0000 0.0000 4.1219
P Hg Zr F
1 1 1 2
direct
0.5000 0.5000 0.5000
0.0000 0.0000 0.0000
0.0000 0.5000 0.0000
0.5000 0.0000 0.0000
0.0000 0.0000 0.5000
```

Results
Calculated volume: 22.7 Å³/atom
Energy: -4.073 eV per atom
Crystal system: tetragonal
Space group: P4/mmm
Mass density: 5.3 g/cm³

Record 8
A geometry-optimized PaHg2F8 structure. Source: Alexandria, functional PBE.

```
PaHg2F8
1.0
4.2855 0.2418 0.3630
-0.3586 6.0842 0.1566
-0.3586 -2.1988 5.6752
F Hg Pa
8 2 1
direct
0.0002 0.2897 0.0442
0.4996 0.7029 0.7029
0.5000 0.7849 0.2151
0.5004 0.2971 0.2971
0.5000 0.2151 0.7849
0.0002 0.0442 0.2897
0.9998 0.7103 0.9558
0.9998 0.9558 0.7103
0.0000 0.3556 0.6444
0.0000 0.6444 0.3556
0.5000 0.0000 0.0000
```

Results
Calculated volume: 13.7 Å³/atom
Crystal system: orthorhombic
Energy above the lowest structure with this stoichiometry: 0.1183 eV per atom
Space group: Cmmm
Mass density: 8.6 g/cm³

Record 9
A geometry-optimized PaHg3F6 structure. Source: Alexandria, functional PBE.

```
PaHg3F6
1.0
-4.7189 -2.2425 0.8377
4.4179 -2.8702 0.4921
0.4282 1.9829 7.7204
Hg F Pa
3 6 1
direct
0.6667 0.3333 0.5000
0.3333 0.6667 0.5000
0.0000 0.0000 0.5000
0.0000 0.6847 0.1635
0.3153 0.3153 0.1635
0.0000 0.3153 0.8365
0.3153 0.0000 0.8365
0.6847 0.0000 0.1635
0.6847 0.6847 0.8365
0.0000 0.0000 0.0000
```

Results
Calculated volume: 19.4 Å³/atom
Energy: -4.693 eV per atom
Crystal system: trigonal
Space group: P-31m
Mass density: 8.1 g/cm³

Record 10
A geometry-optimized PaHg2F8 structure. Source: Alexandria, functional PBE.

```
PaHg2F8
1.0
-3.1498 4.3673 -2.7072
-3.6985 -4.4050 1.8160
-2.1709 3.7853 4.1236
F Pa Hg
8 1 2
direct
0.8170 0.3109 0.6888
0.7463 0.8662 0.7208
0.7471 0.2791 0.1354
0.3335 0.1741 0.8251
0.1830 0.6891 0.3112
0.2529 0.7209 0.8646
0.6665 0.8259 0.1749
0.2537 0.1338 0.2792
0.5000 0.0000 0.0000
0.7588 0.5762 0.4251
0.2412 0.4238 0.5749
```

Results
Calculated volume: 17.5 Å³/atom
Crystal system: triclinic
Energy above the lowest structure with this stoichiometry: 0.0000 eV per atom
Space group: P-1
Mass density: 6.8 g/cm³

Record 11
A geometry-optimized PaHgF4 structure. Source: Alexandria, functional PBE.

```
PaHgF4
1.0
-0.0945 -0.7765 -3.4407
-6.8325 -5.1712 1.3546
-5.0224 6.2996 -1.2838
F Hg Pa
8 2 2
direct
0.5000 0.9524 0.7500
0.5000 0.7692 0.4028
0.5000 0.0476 0.2500
0.5000 0.2308 0.5972
0.5000 0.2308 0.9028
0.5000 0.7692 0.0972
0.0000 0.0000 0.5000
0.0000 0.0000 0.0000
0.0000 0.4453 0.2500
0.0000 0.5547 0.7500
0.0000 0.1233 0.7500
0.0000 0.8767 0.2500
```

Results
Calculated volume: 20.8 Å³/atom
Energy: -5.937 eV per atom
Crystal system: orthorhombic
Space group: Pmma
Mass density: 6.8 g/cm³

Record 12
A geometry-optimized PaHg2F11 structure. Source: Alexandria, functional PBE.

```
PaHg2F11
1.0
7.6015 0.0000 3.9622
3.5693 7.6721 2.4250
0.2486 -0.2261 8.7960
F Hg Pa
22 4 2
direct
0.1738 0.0583 0.2141
0.0000 0.0000 0.0000
0.4558 0.9874 0.2989
0.0538 0.5583 0.7141
0.5623 0.3451 0.6549
0.0442 0.2011 0.5126
0.9462 0.4417 0.2859
0.8262 0.9417 0.7859
0.5442 0.0126 0.7011
0.6738 0.7141 0.5583
0.4462 0.7859 0.9417
0.3262 0.2859 0.4417
0.2421 0.5126 0.2011
0.5000 0.5000 0.5000
0.0623 0.1549 0.8451
0.7421 0.7011 0.0126
0.9377 0.8451 0.1549
0.9558 0.7989 0.4874
0.5538 0.2141 0.0583
0.4377 0.6549 0.3451
0.2579 0.2989 0.9874
0.7579 0.4874 0.7989
0.2891 0.2827 0.7173
0.2109 0.7827 0.2173
0.7109 0.7173 0.2827
0.7891 0.2173 0.7827
0.2500 0.2500 0.2500
0.7500 0.7500 0.7500
```

Results
Calculated volume: 18.1 Å³/atom
Energy: -4.403 eV per atom
Crystal system: orthorhombic
Space group: Ibam
Mass density: 5.5 g/cm³

Record 13
A geometry-optimized PaHg12F7 structure. Source: Alexandria, functional PBE.

```
PaHg12F7
1.0
-2.0292 -1.2310 -3.8887
2.5477 -10.2411 3.6916
-8.6935 5.2767 4.6452
F Hg Pa
7 12 1
direct
0.1100 0.8146 0.0002
0.7046 0.8144 0.8146
0.8900 0.1854 0.9998
0.5000 0.0000 0.0000
0.1098 0.9998 0.8144
0.2954 0.1856 0.1854
0.8902 0.0002 0.1856
0.5006 0.5853 0.4151
0.4556 0.0002 0.3438
0.1118 0.6562 0.6564
0.0855 0.5849 0.1702
0.5446 0.6564 0.0002
0.4994 0.4147 0.5849
0.9145 0.4151 0.8298
0.9153 0.8298 0.4147
0.5444 0.9998 0.6562
0.4554 0.3436 0.9998
0.0847 0.1702 0.5853
0.8882 0.3438 0.3436
0.0000 0.0000 0.0000
```

Results
Calculated volume: 24.2 Å³/atom
Energy: -2.643 eV per atom
Crystal system: trigonal
Space group: R-3m
Mass density: 9.5 g/cm³

Record 14
A geometry-optimized RbPaHgF6 structure. Source: Alexandria, functional PBE.

```
RbPaHgF6
1.0
5.4166 0.0000 0.0000
0.0000 7.0810 0.0000
0.0000 -3.5405 6.1323
F Rb Hg Pa
6 1 1 1
direct
0.7307 0.0443 0.2609
0.7307 0.7391 0.7833
0.2693 0.7391 0.9557
0.2693 0.2167 0.2609
0.2693 0.0443 0.7833
0.7307 0.2167 0.9557
0.0000 0.3333 0.6667
0.5000 0.6667 0.3333
0.5000 0.0000 0.0000
```

Results
Calculated volume: 26.1 Å³/atom
Energy: -5.627 eV per atom
Crystal system: trigonal
Space group: P312
Mass density: 4.5 g/cm³

Record 15
A geometry-optimized PaTl2HgF8 structure. Source: Alexandria, functional PBE.

```
PaTl2HgF8
1.0
6.2390 0.0000 0.0000
0.0000 6.2390 0.0000
-3.1195 -3.1195 6.0449
F Pa Hg Tl
8 1 1 2
direct
0.9342 0.8477 0.2861
0.5616 0.0658 0.7139
0.1523 0.6481 0.7139
0.1523 0.0658 0.7139
0.9342 0.4384 0.2861
0.3519 0.8477 0.2861
0.5616 0.6481 0.7139
0.3519 0.4384 0.2861
0.2500 0.7500 0.5000
0.5000 0.5000 0.0000
0.7500 0.2500 0.5000
0.0000 0.0000 0.0000
```

Results
Calculated volume: 19.6 Å³/atom
Energy: -5.124 eV per atom
Crystal system: tetragonal
Space group: I-4m2
Mass density: 7.0 g/cm³

Record 16
A geometry-optimized Hg2PbF7 structure. Source: Alexandria, functional PBE.

```
Hg2PbF7
1.0
-2.7797 1.3762 -2.8819
-4.6197 0.4522 4.6718
3.3770 5.6251 -0.5711
F Pb Hg
7 1 2
direct
0.5000 0.0500 0.2973
0.0000 0.2730 0.7270
0.5000 0.9500 0.7027
0.5000 0.7027 0.9500
0.5000 0.2973 0.0500
0.5000 0.5000 0.5000
0.0000 0.7270 0.2730
0.0000 0.0000 0.0000
0.5000 0.3008 0.6992
0.5000 0.6992 0.3008
```

Results
Calculated volume: 17.1 Å³/atom
Energy: -3.237 eV per atom
Crystal system: orthorhombic
Space group: Cmmm
Mass density: 7.2 g/cm³

Record 17
A geometry-optimized HgPb3F structure. Source: Alexandria, functional PBE.

```
HgPb3F
1.0
-1.0392 -3.2380 -3.8845
4.6638 0.9197 -2.0143
1.9553 -3.9146 2.7399
Pb Hg F
3 1 1
direct
0.0000 0.5000 0.0000
0.0000 0.0000 0.5000
0.5000 0.0000 0.0000
0.5000 0.5000 0.5000
0.0000 0.0000 0.0000
```

Results
Calculated volume: 27.5 Å³/atom
Crystal system: cubic
Energy above the lowest structure with this stoichiometry: 0.0000 eV per atom
Space group: Pm-3m
Mass density: 10.2 g/cm³

Record 18
A geometry-optimized Hg2PbF11 structure. Source: Alexandria, functional PBE.

```
Hg2PbF11
1.0
7.5358 0.0000 3.9279
3.5747 7.3776 2.3346
0.3549 -0.2806 8.5119
F Hg Pb
22 4 2
direct
0.2355 0.5246 0.1858
0.5541 0.0246 0.6858
0.9323 0.4330 0.2952
0.1604 0.0670 0.2048
0.5000 0.5000 0.5000
0.8396 0.9330 0.7952
0.7645 0.4754 0.8142
0.3396 0.2952 0.4330
0.0778 0.1540 0.8460
0.4323 0.7952 0.9330
0.5677 0.2048 0.0670
0.9222 0.8460 0.1540
0.5778 0.3460 0.6540
0.9459 0.8142 0.4754
0.2645 0.3142 0.9754
0.7355 0.6858 0.0246
0.0541 0.1858 0.5246
0.6604 0.7048 0.5670
0.0677 0.5670 0.7048
0.0000 0.0000 0.0000
0.4222 0.6540 0.3460
0.4459 0.9754 0.3142
0.2958 0.2902 0.7098
0.2042 0.7902 0.2098
0.7042 0.7098 0.2902
0.7958 0.2098 0.7902
0.2500 0.2500 0.2500
0.7500 0.7500 0.7500
```

Results
Calculated volume: 16.6 Å³/atom
Energy: -2.992 eV per atom
Crystal system: orthorhombic
Space group: Ibam
Mass density: 5.9 g/cm³

Record 19
A geometry-optimized Hg3PbF7 structure. Source: Alexandria, functional PBE.

```
Hg3PbF7
1.0
6.5371 0.1395 -1.7509
-2.4883 5.3610 -0.1061
-0.7785 0.1032 5.8589
Hg F Pb
3 7 1
direct
0.0064 0.2468 0.7995
0.4560 0.9517 0.9517
0.0064 0.7995 0.2468
0.7321 0.8446 0.8446
0.2047 0.6194 0.1126
0.7084 0.8466 0.3190
0.3081 0.1549 0.1549
0.2047 0.1126 0.6194
0.7084 0.3190 0.8466
0.1926 0.6034 0.6034
0.4721 0.5013 0.5013
```

Results
Calculated volume: 18.2 Å³/atom
Energy: -3.169 eV per atom
Crystal system: monoclinic
Space group: Cm
Mass density: 7.8 g/cm³

Record 20
A geometry-optimized HgPb3F structure. Source: Alexandria, functional PBE.

```
HgPb3F
1.0
5.7881 0.0000 0.0000
0.0000 5.7881 0.0000
0.0000 0.0000 5.7881
Pb Hg F
3 1 1
direct
0.0000 0.0000 0.5000
0.0000 0.5000 0.0000
0.5000 0.0000 0.0000
0.0000 0.0000 0.0000
0.5000 0.5000 0.5000
```

Results
Calculated volume: 38.8 Å³/atom
Crystal system: cubic
Energy above the lowest structure with this stoichiometry: 0.6140 eV per atom
Space group: Pm-3m
Mass density: 7.2 g/cm³

Record 21
A geometry-optimized HgPb2F structure. Source: Alexandria, functional PBE.

```
HgPb2F
1.0
-2.4266 4.8934 0.7288
-4.9472 -2.3927 -0.4066
-3.7519 0.0364 8.0957
Pb Hg F
4 2 2
direct
0.5229 0.1250 0.2500
0.8750 0.7729 0.7500
0.2271 0.6250 0.2500
0.3750 0.4771 0.7500
0.0000 0.0000 0.0000
0.7500 0.2500 0.5000
0.2500 0.7500 0.5000
0.5000 0.5000 0.0000
```

Results
Calculated volume: 30.5 Å³/atom
Crystal system: tetragonal
Energy above the lowest structure with this stoichiometry: 0.0185 eV per atom
Space group: I-42d
Mass density: 8.6 g/cm³

Record 22
A geometry-optimized HgPb2F structure. Source: Alexandria, functional PBE.

```
HgPb2F
1.0
4.9156 0.0000 0.0000
2.4578 4.2571 0.0000
2.4578 1.4190 7.0842
F Pb Hg
1 2 1
direct
0.0000 0.0000 0.0000
0.8905 0.8905 0.3284
0.1095 0.1095 0.6716
0.5000 0.5000 0.5000
```

Results
Calculated volume: 37.1 Å³/atom
Crystal system: trigonal
Energy above the lowest structure with this stoichiometry: 0.0000 eV per atom
Space group: R-3m
Mass density: 7.1 g/cm³